No. 1
Computed, not measured: a relaxed structure of Rb2CoHgO4 at the PBE+U level of DFT.

Computed properties:
E_tot   -4.198 eV per atom

a b c (Å): 5.9344 12.3877 20.6852
angles (deg): 90.00 90.00 90.00
Space group Fddd (No. 70, origin choice 2)
Asymmetric unit:
1 Rb 0.1250 0.1250 0.3096 x16
2 Co 0.1250 0.1250 0.6250 x8
3 Hg 0.1250 0.1250 0.1250 x8
4 O 0.0665 0.2809 0.8397 x32

No. 2
Computed, not measured: a relaxed structure of CoHg3Rh3O8 at the PBE+U level of DFT.

Computed properties:
D(E_F)   24.08 states/eV per cell
E_tot   -5.057 eV per atom

a b c (Å): 10.4589 6.0282 7.8966
angles (deg): 90.00 116.63 90.00
Space group C2/m (No. 12)
Asymmetric unit:
1 Co 0.0000 0.0000 0.0000 x2
2 Hg 0.0000 0.0000 0.5000 x2
3 Hg 0.2500 0.2500 0.5000 x4
4 Rh 0.0000 0.5000 0.0000 x2
5 Rh 0.2500 0.2500 0.0000 x4
6 O 0.0331 0.2397 0.8614 x8
7 O 0.2064 0.0000 0.1383 x4
8 O 0.2161 0.5000 0.1459 x4

No. 3
Computed, not measured: a relaxed structure of CoHgSeO6 at the PBE+U level of DFT.

Computed properties:
E_tot   -4.841 eV per atom

a b c (Å): 4.9449 8.4903 5.0519
angles (deg): 90.00 90.67 90.00
Space group C2 (No. 5)
Asymmetric unit:
1 Co 0.0000 0.0000 0.0000 x2
2 Hg 0.0000 0.3300 0.5000 x2
3 Se 0.0000 0.6613 0.0000 x2
4 O 0.1197 0.8242 0.2050 x4
5 O 0.1847 0.5204 0.2066 x4
6 O 0.1940 0.1378 0.2063 x4

No. 4
Computed, not measured: a relaxed structure of Co2SnHgO at the PBE+U level of DFT.

Computed properties:
D(E_F)   2.54 states/eV per cell
E_tot   -3.782 eV per atom

a b c (Å): 4.1158 4.1158 4.9811
angles (deg): 90.00 90.00 90.00
Space group P4/mmm (No. 123)
Asymmetric unit:
1 Co 0.0000 0.5000 0.0000 x2
2 Sn 0.0000 0.0000 0.5000 x1
3 Hg 0.5000 0.5000 0.5000 x1
4 O 0.0000 0.0000 0.0000 x1